4
Lattice="2.779 0.000 0.000 0.000 3.899 0.000 0.000 0.000 5.394" Properties=species:S:1:pos:R:3 comment="SiRuPt2 | the Alexandria database | PBE | optimized geometry" formation_energy_uncorrected_ev_per_atom=-0.070 pbc="T T T"
Si 1.389 1.950 4.045
Ru 1.389 1.950 1.348
Pt 0.000 0.000 2.698
Pt 0.000 0.000 5.393


11
Lattice="-2.728 3.203 3.594 -1.622 -5.224 -0.835 3.363 -1.693 4.061" Properties=species:S:1:pos:R:3 comment="Ac2MgC2N6 | the Alexandria database | PBE | optimized geometry" formation_energy_uncorrected_ev_per_atom=-0.500 pbc="T T T"
N -0.606 -0.152 2.130
Ac 0.065 -0.826 5.045
Ac -1.051 -2.888 1.776
N 1.463 -2.705 3.521
N 0.776 -4.919 3.168
N -2.449 -1.008 3.300
C -1.627 0.026 3.001
Mg 0.000 0.000 0.000
N -1.762 1.205 3.653
N -0.380 -3.562 4.691
C 0.641 -3.740 3.819


6
Lattice="-2.355 -0.104 2.966 -2.922 -0.584 -2.341 0.882 -6.328 0.479" Properties=species:S:1:pos:R:3 comment="MgVP | the Alexandria database | PBE | optimized geometry" ef_kj_per_mol_atoms=-55 pbc="T T T"
P -0.520 -4.775 1.841
V 0.441 -3.164 0.239
V -2.198 -3.508 0.552
P -1.238 -1.896 -1.049
Mg -0.717 -5.634 -0.766
Mg -1.040 -1.037 1.558


3
Lattice="-2.374 -3.280 2.075 1.585 -1.881 3.827 -2.056 0.844 3.970" Properties=species:S:1:pos:R:3 comment="TaInSe | the Alexandria database | PBE | optimized geometry" formation_energy_uncorrected_ev_per_atom=0.653 pbc="T T T"
In -1.422 -2.158 4.936
Ta 0.000 0.000 0.000
Se -2.134 -3.238 7.404


16
Lattice="-1.825 -2.081 3.038 0.475 -3.496 -2.109 14.290 -2.290 7.016" Properties=species:S:1:pos:R:3 comment="Y3AlPd12 | the Alexandria database | PBE | optimized geometry" ef_kj_per_mol_atoms=-76 pbc="T T T"
Al 0.000 0.000 0.000
Pd -0.675 -2.789 0.465
Y 10.842 -1.737 5.323
Pd 4.384 -1.889 4.120
Pd 11.796 -3.077 7.759
Pd 8.080 -2.482 5.934
Pd 6.470 -3.933 3.973
Pd 12.946 -3.784 5.185
Pd 2.769 -3.341 2.156
Pd 1.819 -2.001 -0.278
Pd 9.230 -3.189 3.361
Pd 10.170 -4.526 5.789
Pd 5.535 -2.597 1.546
Pd 0.669 -1.294 2.296
Y 3.448 -0.552 1.693
Y 7.145 -1.145 3.508


3
Lattice="3.312 0.000 0.000 0.000 3.312 0.000 -1.656 -1.656 7.114" Properties=species:S:1:pos:R:3 comment="DyZrSc | the Alexandria database | PBE | optimized geometry" ef_kj_per_mol_atoms=6 pbc="T T T"
Sc 1.656 1.656 2.528
Dy 1.656 1.656 7.033
Zr 0.000 0.000 4.666


8
Lattice="8.325 0.000 0.000 0.000 8.325 0.000 4.162 4.162 3.114" Properties=species:S:1:pos:R:3 comment="Y2MgPt | the Alexandria database | PBE | optimized geometry" ef_kj_per_mol_atoms=-34 pbc="T T T"
Y 1.604 6.244 0.779
Pt 0.000 0.000 0.000
Mg 4.162 4.162 0.000
Y 10.406 10.883 2.336
Mg 4.162 8.325 1.557
Pt 8.325 4.162 1.557
Y 6.721 2.081 0.779
Y 6.244 5.767 2.336


5
Lattice="-1.134 3.761 -2.905 -0.986 -3.108 -3.638 -4.649 -0.258 1.480" Properties=species:S:1:pos:R:3 comment="FeSn3P | the Alexandria database | PBE | optimized geometry" ef_kj_per_mol_atoms=32 pbc="T T T"
Sn -2.324 -0.129 0.740
P -3.384 0.197 -2.532
Sn -0.493 -1.554 -1.819
Sn -0.567 1.880 -1.453
Fe 0.000 0.000 0.000


4
Lattice="3.715 0.000 0.000 0.000 4.371 0.000 0.000 0.000 4.371" Properties=species:S:1:pos:R:3 comment="HgIr2Br | the Alexandria database | PBE | optimized geometry" formation_energy_uncorrected_ev_per_atom=1.157 pbc="T T T"
Ir 0.000 2.185 2.185
Hg 1.858 0.000 2.185
Ir 0.000 0.000 0.000
Br 1.858 2.185 0.000


4
Lattice="5.597 0.000 0.000 2.798 4.847 0.000 2.798 1.616 4.570" Properties=species:S:1:pos:R:3 comment="NaSrSmAl | the Alexandria database | PBE | optimized geometry" ef_kj_per_mol_atoms=2 pbc="T T T"
Al 5.597 3.231 2.285
Sm 8.395 4.847 3.427
Sr 2.798 1.616 1.142
Na 0.000 0.000 0.000


4
Lattice="-5.276 -0.975 0.900 -2.801 -3.175 -3.416 -1.620 -4.944 1.591" Properties=species:S:1:pos:R:3 comment="SmSnHgPb | the Alexandria database | PBE | optimized geometry" ef_kj_per_mol_atoms=-27 pbc="T T T"
Pb 0.000 0.000 0.000
Hg -7.273 -6.820 -0.693
Sn -2.424 -2.273 -0.231
Sm -4.848 -4.547 -0.462


20
Lattice="-2.357 -1.830 2.763 6.925 1.053 6.604 -3.687 8.533 2.506" Properties=species:S:1:pos:R:3 comment="Pr2AlPd2Pt5 | the Alexandria database | PBE | optimized geometry" ef_kj_per_mol_atoms=-75 pbc="T T T"
Pr -0.024 2.984 1.955
Al 1.619 4.793 4.555
Pt 0.094 5.618 6.793
Pt 2.008 3.617 7.100
Pd 2.095 1.491 2.774
Pr -0.780 7.416 4.246
Pt -3.759 5.994 3.756
Pd 1.144 8.095 6.336
Pd -1.426 5.502 2.427
Pt 0.898 7.995 9.052
Pt -3.022 3.352 2.634
Pt 4.640 1.762 8.117
Pd 4.664 4.084 6.683
Pr 3.262 6.602 7.154
Pt 2.284 -0.388 4.683
Pt -0.016 -0.239 2.820
Al 0.000 0.000 0.000
Pt -1.126 4.139 4.772
Pr 4.018 2.170 4.864
Pt 0.787 2.139 5.080